Entry 1:
A geometry-optimized NaSmEuSn structure, computed with PBE.

a b c (Å): 5.5328 5.5328 5.5328
angles (deg): 60.00 60.00 60.00
Closest atoms and distances in Å follow each position.
Sites, in units of the cell vectors:
Na (0.0000, 0.0000, 0.0000)  4 Eu 3.39, 4 Sm 3.39
Sm (0.2500, 0.2500, 0.2500)  4 Sn 3.39, 4 Na 3.39
Eu (0.7500, 0.7500, 0.7500)  4 Sn 3.39, 4 Na 3.39
Sn (0.5000, 0.5000, 0.5000)  4 Sm 3.39, 4 Eu 3.39

## Properties
- SG: F-43m, No. 216
- Crystal system: cubic
- Electronic total energy: -21.6 eV per cell
- Magnetic moment: 7.6 μB per formula unit

Entry 2:
A geometry-optimized NaSmEuTl structure, computed with PBE.

a b c (Å): 5.6083 5.6083 5.6083
angles (deg): 60.00 60.00 60.00
Closest atoms and distances in Å follow each position.
Sites, in units of the cell vectors:
Na (0.0000, 0.0000, 0.0000)  4 Sm 3.43, 4 Eu 3.43
Sm (0.2500, 0.2500, 0.2500)  4 Tl 3.43, 4 Na 3.43
Eu (0.7500, 0.7500, 0.7500)  4 Tl 3.43, 4 Na 3.43
Tl (0.5000, 0.5000, 0.5000)  4 Sm 3.43, 4 Eu 3.43

## Properties
- SG: F-43m, No. 216
- Crystal system: cubic
- Electronic total energy: -19.1 eV per cell
- Magnetic moment: 7.3 μB per formula unit

Entry 3:
A geometry-optimized NaSmEuZn structure, computed with PBE.

a b c (Å): 5.4739 5.4739 5.4739
angles (deg): 60.00 60.00 60.00
Closest atoms and distances in Å follow each position.
Sites, in units of the cell vectors:
Na (0.0000, 0.0000, 0.0000)  4 Eu 3.35, 4 Sm 3.35
Sm (0.2500, 0.2500, 0.2500)  4 Na 3.35, 4 Zn 3.35
Eu (0.7500, 0.7500, 0.7500)  4 Na 3.35, 4 Zn 3.35
Zn (0.5000, 0.5000, 0.5000)  4 Eu 3.35, 4 Sm 3.35

## Properties
- SG: F-43m, No. 216
- Crystal system: cubic
- Electronic total energy: -17.3 eV per cell
- Magnetic moment: 7.4 μB per formula unit

Entry 4:
A geometry-optimized NaEuSn structure, computed with PBE.

a b c (Å): 5.9961 5.9961 5.9961
angles (deg): 138.70 138.70 59.83
Closest atoms and distances in Å follow each position.
Sites, in units of the cell vectors:
Na (0.0000, 0.0000, 0.0000)  5 Eu 3.24-3.57, 4 Sn 3.37
Eu (0.6879, 0.6879, 0.0000)  5 Na 3.24-3.57, 5 Sn 3.43-3.51
Sn (0.3498, 0.3498, 0.0000)  5 Na 3.37-3.64, 5 Eu 3.43-3.51

## Properties
- SG: I4mm, No. 107
- Crystal system: tetragonal
- Electronic total energy: -16.5 eV per cell
- Magnetic moment: 7.2 μB per formula unit
- E above lowest polymorph: 0.20 eV/f.u.

Entry 5:
A geometry-optimized NaEu2Sn structure, computed with PBE.

a b c (Å): 12.4163 12.4163 12.4163
angles (deg): 17.71 17.71 17.71
Closest atoms and distances in Å follow each position.
Sites, in units of the cell vectors:
Na (0.0000, 0.0000, 0.0000)  2 Eu 3.66, 6 Na 3.82
Eu (0.0997, 0.0997, 0.0997)  3 Sn 3.30, 1 Na 3.66
Eu (0.9003, 0.9003, 0.9003)  3 Sn 3.30, 1 Na 3.66
Sn (0.5000, 0.5000, 0.5000)  6 Eu 3.30

## Properties
- SG: R-3m, No. 166
- Crystal system: trigonal
- Electronic total energy: -26.4 eV per cell
- Magnetic moment: 14.8 μB per formula unit

Entry 6:
A geometry-optimized NaEuSn2 structure, computed with PBE.

a b c (Å): 4.8045 4.8045 4.7327
angles (deg): 90.00 90.00 90.00
Closest atoms and distances in Å follow each position.
Sites, in units of the cell vectors:
Na (0.0000, 0.0000, 0.0000)  8 Sn 3.37, 4 Eu 3.40
Eu (0.5000, 0.5000, 0.0000)  8 Sn 3.37, 4 Na 3.40
Sn (0.0000, 0.5000, 0.5000)  4 Na 3.37, 4 Eu 3.37, 4 Sn 3.40
Sn (0.5000, 0.0000, 0.5000)  4 Na 3.37, 4 Eu 3.37, 4 Sn 3.40

## Properties
- SG: P4/mmm, No. 123
- Crystal system: tetragonal
- Electronic total energy: -21.3 eV per cell
- Magnetic moment: 6.9 μB per formula unit

Entry 7:
A geometry-optimized NaEu2Sn structure, computed with PBE.

a b c (Å): 5.6677 5.6677 5.6677
angles (deg): 60.00 60.00 60.00
Closest atoms and distances in Å follow each position.
Sites, in units of the cell vectors:
Na (0.0000, 0.0000, 0.0000)  8 Eu 3.47
Eu (0.2500, 0.2500, 0.2500)  4 Sn 3.47, 4 Na 3.47
Eu (0.7500, 0.7500, 0.7500)  4 Sn 3.47, 4 Na 3.47
Sn (0.5000, 0.5000, 0.5000)  8 Eu 3.47

## Properties
- SG: Fm-3m, No. 225
- Crystal system: cubic
- Electronic total energy: -27.5 eV per cell
- Magnetic moment: 14.3 μB per formula unit

Entry 8:
A geometry-optimized Na2EuSn structure, computed with PBE.

a b c (Å): 12.6886 12.6886 12.6886
angles (deg): 16.14 16.14 16.14
Closest atoms and distances in Å follow each position.
Sites, in units of the cell vectors:
Na (0.0964, 0.0964, 0.0964)  3 Sn 3.35, 6 Na 3.56, 1 Eu 3.62
Na (0.9036, 0.9036, 0.9036)  3 Sn 3.35, 6 Na 3.56, 1 Eu 3.62
Eu (0.0000, 0.0000, 0.0000)  6 Eu 3.56, 2 Na 3.62
Sn (0.5000, 0.5000, 0.5000)  6 Na 3.35, 6 Sn 3.56

## Properties
- SG: R-3m, No. 166
- Crystal system: trigonal
- Electronic total energy: -16.5 eV per cell
- Magnetic moment: 7.9 μB per formula unit

Entry 9:
A geometry-optimized NaEuSn2 structure, computed with PBE.

a b c (Å): 3.8789 3.8789 7.4317
angles (deg): 90.00 90.00 90.00
Closest atoms and distances in Å follow each position.
Sites, in units of the cell vectors:
Na (0.0000, 0.0000, 0.0000)  8 Sn 3.20
Eu (0.0000, 0.0000, 0.5000)  8 Sn 3.43, 2 Na 3.72
Sn (0.5000, 0.5000, 0.2223)  4 Na 3.20, 1 Sn 3.30, 4 Eu 3.43
Sn (0.5000, 0.5000, 0.7777)  4 Na 3.20, 1 Sn 3.30, 4 Eu 3.43

## Properties
- SG: P4/mmm, No. 123
- Crystal system: tetragonal
- Electronic total energy: -21.1 eV per cell
- Magnetic moment: 7.1 μB per formula unit

Entry 10:
A geometry-optimized NaEu2Sn structure, computed with PBE.

a b c (Å): 5.3020 5.3020 4.5618
angles (deg): 90.00 90.00 90.00
Closest atoms and distances in Å follow each position.
Sites, in units of the cell vectors:
Na (0.0000, 0.0000, 0.0000)  8 Eu 3.50, 4 Sn 3.75
Eu (0.0000, 0.5000, 0.5000)  4 Sn 3.50, 4 Na 3.50, 4 Eu 3.75
Eu (0.5000, 0.0000, 0.5000)  4 Sn 3.50, 4 Na 3.50, 4 Eu 3.75
Sn (0.5000, 0.5000, 0.0000)  8 Eu 3.50, 4 Na 3.75

## Properties
- SG: P4/mmm, No. 123
- Crystal system: tetragonal
- Electronic total energy: -27.2 eV per cell
- Magnetic moment: 14.7 μB per formula unit

Entry 11:
A geometry-optimized NaEuSn4 structure, computed with PBE.

a b c (Å): 6.2984 6.2984 6.2984
angles (deg): 60.00 60.00 60.00
Closest atoms and distances in Å follow each position.
Sites, in units of the cell vectors:
Na (0.0000, 0.0000, 0.0000)  12 Sn 3.69, 4 Eu 3.86
Eu (0.2500, 0.2500, 0.2500)  12 Sn 3.69, 4 Na 3.86
Sn (0.1252, 0.6249, 0.6249)  6 Sn 3.15
Sn (0.6249, 0.1252, 0.6249)  6 Sn 3.15
Sn (0.6249, 0.6249, 0.1252)  6 Sn 3.15
Sn (0.6249, 0.6249, 0.6249)  6 Sn 3.15

## Properties
- SG: F-43m, No. 216
- Crystal system: cubic
- Electronic total energy: -29.3 eV per cell
- Magnetic moment: 6.8 μB per formula unit

Entry 12:
A geometry-optimized NaEu2Sn structure, computed with PBE.

a b c (Å): 3.9283 3.9283 9.1356
angles (deg): 90.00 90.00 90.00
Closest atoms and distances in Å follow each position.
Sites, in units of the cell vectors:
Na (0.0000, 0.0000, 0.0000)  8 Eu 3.85, 4 Na 3.93
Eu (0.5000, 0.5000, 0.2911)  4 Sn 3.37
Eu (0.5000, 0.5000, 0.7089)  4 Sn 3.37
Sn (0.0000, 0.0000, 0.5000)  8 Eu 3.37

## Properties
- SG: P4/mmm, No. 123
- Crystal system: tetragonal
- Electronic total energy: -27.2 eV per cell
- Magnetic moment: 14.5 μB per formula unit

Entry 13:
A geometry-optimized NaEuSn structure, computed with PBE.

a b c (Å): 5.3588 5.3588 3.6282
angles (deg): 90.00 90.00 120.00
Closest atoms and distances in Å follow each position.
Sites, in units of the cell vectors:
Na (0.0000, 0.0000, 0.0000)  3 Sn 3.09
Eu (0.6667, 0.3333, 0.4955)  6 Na 3.58-3.59, 6 Sn 3.58-3.59, 2 Eu 3.63
Sn (0.3333, 0.6667, 0.9920)  3 Na 3.09

## Properties
- SG: P3m1, No. 156
- Crystal system: trigonal
- Electronic total energy: -16.7 eV per cell
- Magnetic moment: 7.1 μB per formula unit
- E above lowest polymorph: 0.00 eV/f.u.

Entry 14:
A geometry-optimized NaEuSn structure, computed with PBE.

a b c (Å): 5.3875 5.3875 5.3875
angles (deg): 60.00 60.00 60.00
Closest atoms and distances in Å follow each position.
Sites, in units of the cell vectors:
Na (0.0000, 0.0000, 0.0000)  4 Sn 3.30
Eu (0.5000, 0.5000, 0.5000)  4 Sn 3.30
Sn (0.7500, 0.7500, 0.7500)  4 Na 3.30, 4 Eu 3.30

## Properties
- SG: F-43m, No. 216
- Crystal system: cubic
- Electronic total energy: -16.3 eV per cell
- Magnetic moment: 7.4 μB per formula unit
- E above lowest polymorph: 0.37 eV/f.u.

Entry 15:
A geometry-optimized NaTbEuSn structure, computed with PBE.

a b c (Å): 5.4895 5.4895 5.4895
angles (deg): 60.00 60.00 60.00
Closest atoms and distances in Å follow each position.
Sites, in units of the cell vectors:
Na (0.0000, 0.0000, 0.0000)  4 Tb 3.36, 4 Eu 3.36
Tb (0.7500, 0.7500, 0.7500)  4 Sn 3.36, 4 Na 3.36
Eu (0.2500, 0.2500, 0.2500)  4 Sn 3.36, 4 Na 3.36
Sn (0.5000, 0.5000, 0.5000)  4 Tb 3.36, 4 Eu 3.36

## Properties
- SG: F-43m, No. 216
- Crystal system: cubic
- Electronic total energy: -21.5 eV per cell
- Magnetic moment: 7.6 μB per formula unit

Entry 16:
A geometry-optimized NaEuTlSn structure, computed with PBE.

a b c (Å): 5.4789 5.4789 5.4789
angles (deg): 60.00 60.00 60.00
Closest atoms and distances in Å follow each position.
Sites, in units of the cell vectors:
Na (0.0000, 0.0000, 0.0000)  4 Sn 3.36, 4 Tl 3.36
Eu (0.5000, 0.5000, 0.5000)  4 Tl 3.36, 4 Sn 3.36
Tl (0.2500, 0.2500, 0.2500)  4 Na 3.36, 4 Eu 3.36
Sn (0.7500, 0.7500, 0.7500)  4 Eu 3.36, 4 Na 3.36

## Properties
- SG: F-43m, No. 216
- Crystal system: cubic
- Electronic total energy: -19.5 eV per cell
- Magnetic moment: 7.0 μB per formula unit

Entry 17:
A geometry-optimized NaEuTmSn structure, computed with PBE.

a b c (Å): 5.4487 5.4487 5.4487
angles (deg): 60.00 60.00 60.00
Closest atoms and distances in Å follow each position.
Sites, in units of the cell vectors:
Na (0.0000, 0.0000, 0.0000)  4 Eu 3.34, 4 Tm 3.34
Eu (0.7500, 0.7500, 0.7500)  4 Sn 3.34, 4 Na 3.34
Tm (0.2500, 0.2500, 0.2500)  4 Sn 3.34, 4 Na 3.34
Sn (0.5000, 0.5000, 0.5000)  4 Eu 3.34, 4 Tm 3.34

## Properties
- SG: F-43m, No. 216
- Crystal system: cubic
- Electronic total energy: -21.2 eV per cell
- Magnetic moment: 7.5 μB per formula unit

Entry 18:
A geometry-optimized NaEuYSn structure, computed with PBE.

a b c (Å): 5.4851 5.4851 5.4851
angles (deg): 60.00 60.00 60.00
Closest atoms and distances in Å follow each position.
Sites, in units of the cell vectors:
Na (0.0000, 0.0000, 0.0000)  4 Eu 3.36, 4 Y 3.36
Eu (0.2500, 0.2500, 0.2500)  4 Sn 3.36, 4 Na 3.36
Y (0.7500, 0.7500, 0.7500)  4 Sn 3.36, 4 Na 3.36
Sn (0.5000, 0.5000, 0.5000)  4 Y 3.36, 4 Eu 3.36

## Properties
- SG: F-43m, No. 216
- Crystal system: cubic
- Electronic total energy: -23.4 eV per cell
- Magnetic moment: 7.6 μB per formula unit

Entry 19:
A geometry-optimized NaEuZnSn structure, computed with PBE.

a b c (Å): 5.2997 5.2997 5.2997
angles (deg): 60.00 60.00 60.00
Closest atoms and distances in Å follow each position.
Sites, in units of the cell vectors:
Na (0.0000, 0.0000, 0.0000)  4 Sn 3.25, 4 Zn 3.25
Eu (0.5000, 0.5000, 0.5000)  4 Sn 3.25, 4 Zn 3.25
Zn (0.2500, 0.2500, 0.2500)  4 Na 3.25, 4 Eu 3.25
Sn (0.7500, 0.7500, 0.7500)  4 Na 3.25, 4 Eu 3.25

## Properties
- SG: F-43m, No. 216
- Crystal system: cubic
- Electronic total energy: -18.0 eV per cell
- Magnetic moment: 6.9 μB per formula unit

Entry 20:
A geometry-optimized NaSrEuTl structure, computed with PBE.

a b c (Å): 5.8466 5.8466 5.8466
angles (deg): 60.00 60.00 60.00
Closest atoms and distances in Å follow each position.
Sites, in units of the cell vectors:
Na (0.0000, 0.0000, 0.0000)  4 Sr 3.58, 4 Eu 3.58
Sr (0.2500, 0.2500, 0.2500)  4 Tl 3.58, 4 Na 3.58
Eu (0.7500, 0.7500, 0.7500)  4 Tl 3.58, 4 Na 3.58
Tl (0.5000, 0.5000, 0.5000)  4 Eu 3.58, 4 Sr 3.58

## Properties
- SG: F-43m, No. 216
- Crystal system: cubic
- Electronic total energy: -16.4 eV per cell
- Magnetic moment: 7.1 μB per formula unit

Entry 21:
A geometry-optimized NaSrEuZn structure, computed with PBE.

a b c (Å): 5.7604 5.7604 5.7604
angles (deg): 60.00 60.00 60.00
Closest atoms and distances in Å follow each position.
Sites, in units of the cell vectors:
Na (0.0000, 0.0000, 0.0000)  4 Sr 3.53, 4 Eu 3.53
Sr (0.7500, 0.7500, 0.7500)  4 Na 3.53, 4 Zn 3.53
Eu (0.2500, 0.2500, 0.2500)  4 Na 3.53, 4 Zn 3.53
Zn (0.5000, 0.5000, 0.5000)  4 Sr 3.53, 4 Eu 3.53

## Properties
- SG: F-43m, No. 216
- Crystal system: cubic
- Electronic total energy: -14.6 eV per cell
- Magnetic moment: 7.5 μB per formula unit

Entry 22:
A geometry-optimized NaTbEu2 structure, computed with PBE.

a b c (Å): 6.1985 6.1985 3.9040
angles (deg): 90.00 90.00 90.00
Closest atoms and distances in Å follow each position.
Sites, in units of the cell vectors:
Na (0.0000, 0.0000, 0.0000)  8 Eu 3.66, 2 Na 3.90
Tb (0.5000, 0.5000, 0.0000)  8 Eu 3.66, 2 Tb 3.90
Eu (0.0000, 0.5000, 0.5000)  4 Tb 3.66, 4 Na 3.66, 2 Eu 3.90
Eu (0.5000, 0.0000, 0.5000)  4 Tb 3.66, 4 Na 3.66, 2 Eu 3.90

## Properties
- SG: P4/mmm, No. 123
- Crystal system: tetragonal
- Electronic total energy: -25.9 eV per cell
- Magnetic moment: 14.9 μB per formula unit
- E above lowest polymorph: 0.26 eV/f.u.

Entry 23:
A geometry-optimized NaTb2Eu structure, computed with PBE.

a b c (Å): 13.1735 13.1735 13.1735
angles (deg): 15.50 15.50 15.50
Closest atoms and distances in Å follow each position.
Sites, in units of the cell vectors:
Na (0.0000, 0.0000, 0.0000)  2 Tb 3.49, 6 Na 3.55
Tb (0.0894, 0.0894, 0.0894)  1 Na 3.49, 6 Tb 3.55, 3 Eu 3.65
Tb (0.9106, 0.9106, 0.9106)  1 Na 3.49, 6 Tb 3.55, 3 Eu 3.65
Eu (0.5000, 0.5000, 0.5000)  6 Eu 3.55, 6 Tb 3.65

## Properties
- SG: R-3m, No. 166
- Crystal system: trigonal
- Electronic total energy: -19.9 eV per cell
- Magnetic moment: 8.1 μB per formula unit

Entry 24:
A geometry-optimized NaTbEu2 structure, computed with PBE.

a b c (Å): 12.7542 12.7542 12.7542
angles (deg): 16.84 16.84 16.84
Closest atoms and distances in Å follow each position.
Sites, in units of the cell vectors:
Na (0.0000, 0.0000, 0.0000)  6 Na 3.74, 6 Eu 3.92
Tb (0.5000, 0.5000, 0.5000)  6 Eu 3.71, 6 Tb 3.74
Eu (0.2466, 0.2466, 0.2466)  3 Tb 3.71, 6 Eu 3.74, 3 Na 3.92
Eu (0.7534, 0.7534, 0.7534)  3 Tb 3.71, 6 Eu 3.74, 3 Na 3.92

## Properties
- SG: R-3m, No. 166
- Crystal system: trigonal
- Electronic total energy: -26.1 eV per cell
- Magnetic moment: 15.2 μB per formula unit
- E above lowest polymorph: 0.00 eV/f.u.

Entry 25:
A geometry-optimized Na2TbEu structure, computed with PBE.

a b c (Å): 5.8922 5.8922 5.8922
angles (deg): 60.00 60.00 60.00
Closest atoms and distances in Å follow each position.
Sites, in units of the cell vectors:
Na (0.2500, 0.2500, 0.2500)  4 Tb 3.61, 4 Eu 3.61
Na (0.7500, 0.7500, 0.7500)  4 Tb 3.61, 4 Eu 3.61
Tb (0.0000, 0.0000, 0.0000)  8 Na 3.61
Eu (0.5000, 0.5000, 0.5000)  8 Na 3.61

## Properties
- SG: Fm-3m, No. 225
- Crystal system: cubic
- Electronic total energy: -16.2 eV per cell
- Magnetic moment: 8.1 μB per formula unit

Entry 26:
A geometry-optimized NaTbEu2 structure, computed with PBE.

a b c (Å): 3.7152 3.7152 11.1502
angles (deg): 90.00 90.00 90.00
Closest atoms and distances in Å follow each position.
Sites, in units of the cell vectors:
Na (0.0000, 0.0000, 0.0000)  4 Na 3.72, 8 Eu 3.93
Tb (0.0000, 0.0000, 0.5000)  4 Tb 3.72, 8 Eu 3.73
Eu (0.5000, 0.5000, 0.2627)  4 Eu 3.72, 4 Tb 3.73, 4 Na 3.93
Eu (0.5000, 0.5000, 0.7373)  4 Eu 3.72, 4 Tb 3.73, 4 Na 3.93

## Properties
- SG: P4/mmm, No. 123
- Crystal system: tetragonal
- Electronic total energy: -26.1 eV per cell
- Magnetic moment: 15.6 μB per formula unit
- E above lowest polymorph: 0.03 eV/f.u.